[1]
This record from Alexandria via LeMat-Bulk describes a relaxed structure of ZrGeS. The functional is PBEsol.

a = 3.6019 Å, b = 3.6019 Å, c = 7.9804 Å
α = 90.00°, β = 90.00°, γ = 90.00°
Element x y z (fractional)
Ge: 0.0000 0.0000 0.0000
Ge: 0.5000 0.5000 0.0000
Zr: 0.0000 0.5000 0.7235
Zr: 0.5000 0.0000 0.2765
S: 0.5000 0.0000 0.6203
S: 0.0000 0.5000 0.3797

## Properties
symmetry	No. 129
total DFT energy (no corrections)	-7.402	eV/atom
magnetization	0.00	μB/cell
uncorrected formation energy	-1264	meV/atom

=====

[2]
This record from Alexandria via LeMat-Bulk describes a relaxed structure of Y2InAg. The functional is PBEsol.

a = 3.6635 Å, b = 4.7175 Å, c = 6.0552 Å
α = 90.00°, β = 107.71°, γ = 90.00°
Element x y z (fractional)
Ag: 0.2988 0.0000 0.4732
Y: 0.7221 0.5000 0.3198
Y: 0.0294 0.0000 0.9331
In: 0.4497 0.5000 0.7739

## Properties
symmetry	No. 6
formation energy from the elements	-0.41	eV/atom
total DFT energy (no corrections)	-5.393	eV/atom
magnetization	0.00	μB/cell

=====

[3]
This record from Alexandria via LeMat-Bulk describes a relaxed structure of Sb2AsBr. The functional is PBEsol.

a = 3.8897 Å, b = 4.7436 Å, c = 7.0586 Å
α = 68.69°, β = 74.01°, γ = 65.80°
Element x y z (fractional)
As: 0.0000 0.5000 0.5000
Sb: 0.7528 0.1795 0.3149
Sb: 0.2472 0.8205 0.6851
Br: 0.5000 0.0000 0.0000

## Properties
symmetry	No. 12
ΔE to the lowest computed polymorph	0.0	meV/atom
total DFT energy (no corrections)	-4.021	eV/atom
magnetization	0.00	μB/cell
uncorrected formation energy	2	meV/atom

=====

[4]
This record from Alexandria via LeMat-Bulk describes a relaxed structure of ReGe2PtI. The functional is PBEsol.

a = 4.8261 Å, b = 4.8261 Å, c = 4.9318 Å
α = 90.00°, β = 90.00°, γ = 90.00°
Element x y z (fractional)
Pt: 0.0000 0.0000 0.5000
I: 0.5000 0.5000 0.5000
Ge: 0.0000 0.5000 0.0000
Ge: 0.5000 0.0000 0.0000
Re: 0.0000 0.0000 0.0000

## Properties
symmetry	No. 123
total DFT energy (no corrections)	-5.691	eV/atom
magnetization	0.00	μB/cell
uncorrected formation energy	697	meV/atom

=====

Q: Which value of total DFT energy (no corrections) does entry 2 give?
A: -5.393 eV/atom

=====

Q: What is the magnetization in the third record?
A: 0.00 μB/cell

=====

Q: Look up the magnetization of the fourth one.
A: 0.00 μB/cell